[1]
This record from Alexandria describes a geometry-optimized SrTiMn2I structure. The functional is GGA-PBE.

The structure belongs to space group P4/mmm (No. 123); the cell edges are 4.703, 4.703 and 6.788 Å and the angles 90.00°, 90.00° and 90.00°. The distinct sites, in fractional coordinates, are Sr at (0.000, 0.000, 0.000), Ti at (0.000, 0.000, 0.500), Mn at (0.000, 0.500, 0.500) and I at (0.500, 0.500, 0.000).

[2]
This record from Alexandria describes a geometry-optimized Sr2MnTlI8 structure. The functional is GGA-PBE.

The structure belongs to space group P2/m (No. 10); the cell edges are 7.198, 9.648 and 7.922 Å and the angles 90.00°, 92.80° and 90.00°. The distinct sites, in fractional coordinates, are Sr at (0.000, 0.235, 0.000), Mn at (0.500, 0.000, 0.500), Tl at (0.500, 0.500, 0.500), I at (0.148, 0.500, 0.783), I at (0.259, 0.000, 0.833) and I at (0.275, 0.197, 0.365).

[3]
This record from Alexandria describes a geometry-optimized SrMnTlI5 structure. The functional is GGA-PBE.

The structure belongs to space group C2/c (No. 15); the cell edges are 10.499, 13.726 and 11.631 Å and the angles 90.00°, 114.46° and 90.00°. The distinct sites, in fractional coordinates, are Sr at (0.000, 0.000, 0.000), Mn at (0.000, 0.318, 0.250), Tl at (0.000, 0.354, 0.750), I at (0.000, 0.101, 0.750), I at (0.135, 0.209, 0.142) and I at (0.169, 0.437, 0.438).

[4]
This record from Alexandria describes a geometry-optimized SrMnTl2I6 structure. The functional is GGA-PBE.

The structure belongs to space group R3 (No. 146, hexagonal axes); the cell edges are 8.4115, 8.4115 and 21.1677 Å and the angles 90.00°, 90.00° and 120.00°. The distinct sites, in fractional coordinates, are Sr at (0.0000, 0.0000, 0.0000), Mn at (0.0000, 0.0000, 0.5014), Tl at (0.0000, 0.0000, 0.2065), Tl at (0.0000, 0.0000, 0.7096), I at (0.0305, 0.6136, 0.2517) and I at (0.0808, 0.3506, 0.0931).

[5]
This record from Alexandria describes a geometry-optimized Ta3MnI structure. The functional is GGA-PBE.

The structure belongs to space group Pm-3m (No. 221); the cell edges are 4.981, 4.981 and 4.981 Å and the angles 90.00°, 90.00° and 90.00°. The distinct sites, in fractional coordinates, are Ta at (0.000, 0.000, 0.500), Mn at (0.500, 0.500, 0.500) and I at (0.000, 0.000, 0.000).

As for the distance to the lowest polymorph of the same formula: 5.86 eV per formula unit.

[6]
This record from Alexandria describes a geometry-optimized Ta2MnI structure. The functional is GGA-PBE.

The structure belongs to space group I-42d (No. 122); the cell edges are 5.541, 5.541 and 13.026 Å and the angles 90.00°, 90.00° and 90.00°. The distinct sites, in fractional coordinates, are Ta at (0.156, 0.250, 0.125), Mn at (0.000, 0.000, 0.000) and I at (0.000, 0.000, 0.500).

As for the distance to the lowest polymorph of the same formula: 1.95 eV per formula unit.

Number 1: uncorrected energy -5.28 eV per atom, E_form (uncorrected) 0.6084 eV/atom. Number 2: uncorrected energy -3.28 eV per atom, E_form (uncorrected) -1.0004 eV/atom. Number 3: uncorrected energy -3.57 eV per atom, E_form (uncorrected) -0.9456 eV/atom. Number 4: uncorrected energy -3.35 eV per atom, E_form (uncorrected) -0.8626 eV/atom. Number 5: uncorrected energy -7.02 eV per atom, E_form (uncorrected) 2.2327 eV/atom. Number 6: uncorrected energy -7.32 eV per atom, E_form (uncorrected) 1.2906 eV/atom.